#i
# AsIrBr2 (PBE, relaxed)
data_AsIrBr2
_cell_length_a 3.162
_cell_length_b 5.946
_cell_length_c 9.374
_cell_angle_alpha 90.00
_cell_angle_beta 90.00
_cell_angle_gamma 90.00
_space_group_name_H-M_alt 'C m m m'
_space_group_IT_number 65
_space_group_name_Hall '-C 2 2'
loop_
_atom_site_label
_atom_site_fract_x
_atom_site_fract_y
_atom_site_fract_z
_atom_site_occupancy
As1 0.000 0.000 0.000 1
Ir1 0.000 0.000 0.500 1
Br1 0.000 0.500 0.291 1
# Calculated density (g cm⁻³): 8.0

=====

#ii
# AsIrBr2 (PBE, relaxed)
data_AsIrBr2
_cell_length_a 4.920
_cell_length_b 3.635
_cell_length_c 7.254
_cell_angle_alpha 90.00
_cell_angle_beta 109.71
_cell_angle_gamma 90.00
_space_group_name_H-M_alt 'P 1 2/m 1'
_space_group_IT_number 10
_space_group_name_Hall '-P 2y'
loop_
_atom_site_label
_atom_site_fract_x
_atom_site_fract_y
_atom_site_fract_z
_atom_site_occupancy
As1 0.000 0.000 0.000 1
Ir1 0.500 0.000 0.000 1
Br1 0.372 0.500 0.743 1
# Calculated density (g cm⁻³): 5.8

=====

It turns out #ii is the most stable, with the second structure 0.553 eV/atom higher.